1.
A plane-wave DFT calculation with GGA-PBE was carried out for an optimized crystal structure of HfAsPPt2.

a = 4.6471 Å, b = 4.6471 Å, c = 4.6864 Å
α = 90.00°, β = 90.00°, γ = 90.00°
Last column: nearest neighbours and their distance in Å.
Positions (direct):
Hf 0.0000 0.0000 0.0000  4 P 3.29, 8 Pt 3.30
As 0.5000 0.5000 0.5000  4 Pt 2.32, 2 P 2.34
P 0.5000 0.5000 0.0000  2 As 2.34
Pt 0.0000 0.5000 0.5000  2 As 2.32
Pt 0.5000 0.0000 0.5000  2 As 2.32

Results
The energy relative to the elements is 0.440 eV/atom. The size of the total moment comes out at 0.0000 μB/atom. Its space-group type is P4/mmm (123).

---

2.
A plane-wave DFT calculation with GGA-PBE was carried out for an optimized crystal structure of Ce3Cu4Sn4.

a = 8.5870 Å, b = 8.5870 Å, c = 8.5870 Å
α = 148.72°, β = 132.12°, γ = 58.31°
Last column: nearest neighbours and their distance in Å.
Positions (direct):
Ce 0.0000 0.0000 0.0000  6 Sn 3.11-3.25
Ce 0.3666 0.8666 0.5000  6 Sn 3.23-3.37, 6 Cu 3.24
Ce 0.6334 0.1334 0.5000  6 Sn 3.23-3.37, 6 Cu 3.24
Cu 0.0158 0.3319 0.6839  1 Cu 2.56, 4 Sn 2.64-2.80
Cu 0.3520 0.6681 0.6839  1 Cu 2.56, 4 Sn 2.64-2.80
Cu 0.6480 0.3319 0.3161  1 Cu 2.56, 4 Sn 2.64-2.80
Cu 0.9842 0.6681 0.3161  1 Cu 2.56, 4 Sn 2.64-2.80
Sn 0.2165 0.2165 0.0000  6 Cu 2.74-2.80
Sn 0.2978 0.5000 0.7978  2 Cu 2.64, 1 Sn 2.82
Sn 0.7022 0.5000 0.2022  2 Cu 2.64, 1 Sn 2.82
Sn 0.7835 0.7835 0.0000  6 Cu 2.74-2.80

Results
The energy relative to the elements is -0.444 eV/atom. The size of the total moment comes out at 0.2020 μB/atom. Its space-group type is Immm (71).

---

Look up the size of the total moment of the second one. 0.2020 μB/atom

---

Among the records above, which one has the highest size of the total moment? Ce3Cu4Sn4

---

Which of these has the highest size of the total moment? Ce3Cu4Sn4